DFT (PBE) results for an optimized crystal structure of Hf2MnBe2Fe5.

The value obtained for the formation energy from the elements is -0.1511 eV/atom. The energy comes out at -8.04 eV per atom. For the density of states at the Fermi level, the calculation gives 10.8 states/eV/f.u.

The space group is P4/mbm (No. 127) and the conventional cell measures 8.677, 8.677 and 3.256 Å, with angles of 90.00, 90.00 and 90.00 degrees. Symmetry generates all atoms from Hf at (0.176, 0.324, 0.000), Mn at (0.000, 0.000, 0.000), Be at (0.120, 0.620, 0.000), Fe at (0.000, 0.500, 0.500) and Fe at (0.064, 0.792, 0.500).

DFT (PBE) results for an optimized crystal structure of BaSF2.

The raw formation energy comes out at -54.38 kcal/mol of atoms. The value obtained for the polymorph energy (0 for the lowest one) is 0.0 meV per atom. The energy comes out at -4.81 eV per atom. For the density of states at the Fermi level, the calculation gives 0.0 states/eV/f.u.

The space group is R-3m (No. 166, hexagonal axes) and the conventional cell measures 4.7752, 4.7752 and 12.4456 Å, with angles of 90.00, 90.00 and 120.00 degrees. Symmetry generates all atoms from Ba at (0.0000, 0.0000, 0.0000), S at (0.0000, 0.0000, 0.5000) and F at (0.0000, 0.0000, 0.3404).

Look up the energy of the first one. -8.04 eV per atom